Compound: ZrTlPdAu
Source: Alexandria via LeMat-Bulk
Functional: GGA-PBE
Structure: optimized geometry

For the volume, the calculation gives 311.8 Å³/cell. Its energy of formation from the pure elements is -1.5 eV/f.u. As for the crystal system: cubic.

It has space group F-43m (No. 216), with a = 6.7809 Å, b = 6.7809 Å, c = 6.7809 Å, α = 90.00°, β = 90.00° and γ = 90.00°. The distinct sites, in fractional coordinates, are Zr at (0.0000, 0.0000, 0.0000), Tl at (0.0000, 0.0000, 0.5000), Pd at (0.2500, 0.2500, 0.2500) and Au at (0.2500, 0.2500, 0.7500).